# KTl2HgBr5 PBE-GGA optimized geometry
data_KTl2HgBr5
_chemical_formula_sum 'K4 Tl8 Hg4 Br20'
_symmetry_space_group_name_H-M 'I 4/m c m'
_symmetry_Int_Tables_number 140
_symmetry_space_group_name_Hall '-I 4 2c'
_cell_length_a 8.700
_cell_length_b 8.700
_cell_length_c 16.573
_cell_angle_alpha 90.00
_cell_angle_beta 90.00
_cell_angle_gamma 90.00
loop_
_atom_site_label
_atom_site_type_symbol
_atom_site_fract_x
_atom_site_fract_y
_atom_site_fract_z
_atom_site_occupancy
K1 K 0.000 0.000 0.250 1
Tl1 Tl 0.156 0.344 0.000 1
Hg1 Hg 0.000 0.500 0.250 1
Br1 Br 0.000 0.000 0.000 1
Br2 Br 0.168 0.332 0.352 1
# DFT total energy: -90.55 eV/cell
# Calculated volume: 1254 Å³/cell